Entry from the Alexandria database: an optimized crystal structure of LiTbHoMg (PBE).

Computed properties:
Energy relative to the elements (eV/atom): 0.0445
E (eV per formula unit): -12.538
Volume (Å³/cell): 106

Unit cell a=5.3084 b=5.3084 c=5.3084 alpha=60.00 beta=60.00 gamma=60.00
Fractional positions:
Mg  0.5000  0.5000  0.5000
Tb  0.2500  0.2500  0.2500
Ho  0.7500  0.7500  0.7500
Li  0.0000  0.0000  0.0000